# ZrNiPb3 | Alexandria via LeMat-Bulk | PBE-GGA | relaxed
data_ZrNiPb3
_cell_length_a 5.6444
_cell_length_b 5.6444
_cell_length_c 5.6444
_cell_angle_alpha 90.00
_cell_angle_beta 90.00
_cell_angle_gamma 90.00
_symmetry_space_group_name_H-M 'P 1'
_symmetry_Int_Tables_number 1
loop_
_symmetry_equiv_pos_as_xyz
'x,y,z'
loop_
_atom_site_label
_atom_site_type_symbol
_atom_site_fract_x
_atom_site_fract_y
_atom_site_fract_z
Pb1 Pb 0.0000 0.5000 0.0000
Pb2 Pb 0.0000 0.0000 0.5000
Pb3 Pb 0.5000 0.0000 0.0000
Ni1 Ni 0.5000 0.5000 0.5000
Zr1 Zr 0.0000 0.0000 0.0000
# Symmetry = Pm-3m
# Energy above the lowest structure with this stoichiometry = 511 meV per atom
# Formation energy = 96 kJ per mole of atoms